<1>
A plane-wave DFT calculation with PBE was carried out for a relaxed PmMg2Ag crystal.

```
PmMg2Ag
1.0
-2.802 -2.860 -0.146
7.879 -4.754 -3.102
2.249 -2.707 9.859
Pm Mg Ag
4 8 4
Direct
0.500 0.000 0.000
0.324 0.647 0.750
0.500 0.000 0.500
0.676 0.353 0.250
0.039 0.078 0.250
0.709 0.418 0.594
0.709 0.418 0.906
0.291 0.582 0.406
0.886 0.772 0.250
0.114 0.228 0.750
0.291 0.582 0.094
0.961 0.922 0.750
0.130 0.261 0.027
0.870 0.739 0.527
0.870 0.739 0.973
0.130 0.261 0.473
```

Properties
The density of states at the Fermi level is 3.1 states/eV/f.u. The density is 5.0 Mg/m³.

***

<2>
A plane-wave DFT calculation with PBE was carried out for a relaxed PmMg2Ag crystal.

```
PmMg2Ag
1.0
3.429 0.000 0.000
0.000 3.429 0.000
0.000 0.000 8.059
Mg Ag Pm
2 1 1
Direct
0.000 0.000 0.802
0.000 0.000 0.198
0.500 0.500 0.000
0.500 0.500 0.500
```

Properties
The density of states at the Fermi level is 4.3 states/eV/f.u. The density is 5.3 Mg/m³.

***

Of all the structures shown, which is most stable? <1>, and <2> is the least stable.